# 1
First-principles (GGA-PBE) data for a geometry-optimized Ac2PSe structure, as listed in Alexandria.

Geometry as CIF:
```
data_Ac2PSe
_symmetry_space_group_name_H-M 'R 3 m'
_symmetry_Int_Tables_number 160
_symmetry_space_group_name_Hall 'R 3 -2"'
_cell_length_a 4.3571
_cell_length_b 4.3571
_cell_length_c 23.1397
_cell_angle_alpha 90.00
_cell_angle_beta 90.00
_cell_angle_gamma 120.00
loop_
_atom_site_label
_atom_site_fract_x
_atom_site_fract_y
_atom_site_fract_z
_atom_site_occupancy
Ac1 0.0000 0.0000 0.0000 1
Ac2 0.0000 0.0000 0.1831 1
P1 0.0000 0.0000 0.5925 1
Se1 0.0000 0.0000 0.4237 1
```

Summary:
* crystal system: trigonal
* uncorrected energy: -5.94 eV/atom
* energy above the lowest structure with this stoichiometry: 84 meV/atom

---

# 2
First-principles (GGA-PBE) data for a geometry-optimized Ac2PSe structure, as listed in Alexandria.

Geometry as CIF:
```
data_Ac2PSe
_symmetry_space_group_name_H-M 'P 4/m m m'
_symmetry_Int_Tables_number 123
_symmetry_space_group_name_Hall '-P 4 2'
_cell_length_a 3.796
_cell_length_b 3.796
_cell_length_c 7.650
_cell_angle_alpha 90.00
_cell_angle_beta 90.00
_cell_angle_gamma 90.00
loop_
_atom_site_label
_atom_site_fract_x
_atom_site_fract_y
_atom_site_fract_z
_atom_site_occupancy
Ac1 0.000 0.000 0.236 1
P1 0.500 0.500 0.000 1
Se1 0.500 0.500 0.500 1
```

Summary:
* crystal system: tetragonal
* uncorrected energy: -5.70 eV/atom
* energy above the lowest structure with this stoichiometry: 327 meV/atom

---

# 3
First-principles (GGA-PBE) data for a geometry-optimized Ac4P3Se structure, as listed in Alexandria.

Geometry as CIF:
```
data_Ac4P3Se
_symmetry_space_group_name_H-M 'C m m m'
_symmetry_Int_Tables_number 65
_symmetry_space_group_name_Hall '-C 2 2'
_cell_length_a 8.914
_cell_length_b 12.581
_cell_length_c 4.448
_cell_angle_alpha 90.00
_cell_angle_beta 90.00
_cell_angle_gamma 90.00
loop_
_atom_site_label
_atom_site_fract_x
_atom_site_fract_y
_atom_site_fract_z
_atom_site_occupancy
Ac1 0.000 0.246 0.000 1
Ac2 0.240 0.000 0.500 1
P1 0.000 0.000 0.000 1
P2 0.250 0.250 0.500 1
Se1 0.000 0.500 0.000 1
```

Summary:
* crystal system: orthorhombic
* uncorrected energy: -6.15 eV/atom
* energy above the lowest structure with this stoichiometry: 0 meV/atom

---

# 4
First-principles (GGA-PBE) data for a geometry-optimized Ac4P3Se structure, as listed in Alexandria.

Geometry as CIF:
```
data_Ac4P3Se
_symmetry_space_group_name_H-M 'P m -3 m'
_symmetry_Int_Tables_number 221
_symmetry_space_group_name_Hall '-P 4 2 3'
_cell_length_a 6.294
_cell_length_b 6.294
_cell_length_c 6.294
_cell_angle_alpha 90.00
_cell_angle_beta 90.00
_cell_angle_gamma 90.00
loop_
_atom_site_label
_atom_site_fract_x
_atom_site_fract_y
_atom_site_fract_z
_atom_site_occupancy
Ac1 0.000 0.000 0.000 1
Ac2 0.000 0.500 0.500 1
P1 0.000 0.000 0.500 1
Se1 0.500 0.500 0.500 1
```

Summary:
* crystal system: cubic
* uncorrected energy: -6.13 eV/atom
* energy above the lowest structure with this stoichiometry: 24 meV/atom